A plane-wave DFT calculation with PBE was carried out for an optimized crystal structure of Na3Er3BiO8.

Properties
Magnetization in μB/f.u.: 0.000
E_form (uncorrected) in eV/atom: -2.447
SG: R-3m (166)

Cell lengths 6.8713, 6.8713, 6.8713 Å; angles 59.52, 59.52, 59.52 degrees
Sites, in units of the cell vectors:
1 Na 0.0000 0.5000 0.5000
2 Na 0.5000 0.0000 0.5000
3 Na 0.5000 0.5000 0.0000
4 Er 0.0000 0.0000 0.5000
5 Er 0.0000 0.5000 0.0000
6 Er 0.5000 0.0000 0.0000
7 Bi 0.5000 0.5000 0.5000
8 O 0.2345 0.2345 0.2345
9 O 0.2388 0.7333 0.7333
10 O 0.2667 0.2667 0.7612
11 O 0.2667 0.7612 0.2667
12 O 0.7333 0.2388 0.7333
13 O 0.7333 0.7333 0.2388
14 O 0.7612 0.2667 0.2667
15 O 0.7655 0.7655 0.7655